Below is a relaxed WAu3C crystal, with properties calculated at the GGA-PBE level.

abc: 5.078 5.078 5.078
angles: 90.00 90.00 90.00
Sites, in units of the cell vectors:
W (0.000, 0.000, 0.000)
Au (0.000, 0.000, 0.500)
Au (0.000, 0.500, 0.000)
Au (0.500, 0.000, 0.000)
C (0.500, 0.500, 0.500)

Results
**Crystal system**: cubic
**SG**: Pm-3m (221)


Below is a relaxed WAu3C crystal, with properties calculated at the GGA-PBE level.

abc: 4.309 4.309 4.309
angles: 90.00 90.00 90.00
Sites, in units of the cell vectors:
W (0.000, 0.000, 0.000)
Au (0.000, 0.500, 0.500)
Au (0.500, 0.000, 0.500)
Au (0.500, 0.500, 0.000)
C (0.500, 0.500, 0.500)

Results
**Crystal system**: cubic
**SG**: Pm-3m (221)


Below is a relaxed W2AuC crystal, with properties calculated at the GGA-PBE level.

abc: 6.840 6.840 6.840
angles: 137.90 137.90 61.06
Sites, in units of the cell vectors:
W (0.008, 0.625, 0.883)
W (0.375, 0.258, 0.383)
W (0.742, 0.125, 0.117)
W (0.875, 0.992, 0.617)
Au (0.250, 0.750, 0.500)
Au (0.500, 0.500, 0.000)
C (0.000, 0.000, 0.000)
C (0.750, 0.250, 0.500)

Results
**Crystal system**: tetragonal
**SG**: I-42d (122)


Below is a relaxed WAuC2 crystal, with properties calculated at the GGA-PBE level.

abc: 5.869 5.869 5.869
angles: 130.49 130.49 72.63
Sites, in units of the cell vectors:
W (0.000, 0.000, 0.000)
W (0.750, 0.250, 0.500)
Au (0.250, 0.750, 0.500)
Au (0.500, 0.500, 0.000)
C (0.083, 0.625, 0.958)
C (0.375, 0.333, 0.458)
C (0.667, 0.125, 0.042)
C (0.875, 0.917, 0.542)

Results
**Crystal system**: tetragonal
**SG**: I-42d (122)


Below is a relaxed WAu2C crystal, with properties calculated at the GGA-PBE level.

abc: 5.941 5.941 5.941
angles: 97.28 97.28 138.29
Sites, in units of the cell vectors:
W (0.000, 0.000, 0.000)
W (0.750, 0.250, 0.500)
Au (0.233, 0.625, 0.108)
Au (0.375, 0.483, 0.608)
Au (0.517, 0.125, 0.892)
Au (0.875, 0.767, 0.392)
C (0.250, 0.750, 0.500)
C (0.500, 0.500, 0.000)

Results
**Crystal system**: tetragonal
**SG**: I-42d (122)


Below is a relaxed WAuC3 crystal, with properties calculated at the GGA-PBE level.

abc: 4.132 4.132 4.132
angles: 90.00 90.00 90.00
Sites, in units of the cell vectors:
W (0.000, 0.000, 0.000)
Au (0.500, 0.500, 0.500)
C (0.000, 0.000, 0.500)
C (0.000, 0.500, 0.000)
C (0.500, 0.000, 0.000)

Results
**Crystal system**: cubic
**SG**: Pm-3m (221)


Below is a relaxed WAuC3 crystal, with properties calculated at the GGA-PBE level.

abc: 3.998 3.998 3.998
angles: 90.00 90.00 90.00
Sites, in units of the cell vectors:
W (0.000, 0.000, 0.000)
Au (0.500, 0.500, 0.500)
C (0.000, 0.500, 0.500)
C (0.500, 0.000, 0.500)
C (0.500, 0.500, 0.000)

Results
**Crystal system**: cubic
**SG**: Pm-3m (221)


Below is a relaxed Y6Au2C crystal, with properties calculated at the GGA-PBE level.

abc: 6.732 7.055 11.759
angles: 90.00 124.13 90.00
Sites, in units of the cell vectors:
Y (0.139, 0.022, 0.242)
Y (0.139, 0.478, 0.742)
Y (0.245, 0.712, 0.052)
Y (0.245, 0.788, 0.552)
Y (0.344, 0.196, 0.052)
Y (0.344, 0.304, 0.552)
Y (0.656, 0.696, 0.448)
Y (0.656, 0.804, 0.948)
Y (0.755, 0.212, 0.448)
Y (0.755, 0.288, 0.948)
Y (0.861, 0.522, 0.258)
Y (0.861, 0.978, 0.758)
Au (0.279, 0.069, 0.751)
Au (0.279, 0.431, 0.251)
Au (0.721, 0.569, 0.749)
Au (0.721, 0.931, 0.249)
C (0.000, 0.000, 0.000)
C (0.000, 0.500, 0.500)

Results
**Crystal system**: monoclinic
**SG**: P2_1/c (14)


Below is a relaxed YAuC3 crystal, with properties calculated at the GGA-PBE level.

abc: 4.162 4.162 4.162
angles: 90.00 90.00 90.00
Sites, in units of the cell vectors:
Y (0.000, 0.000, 0.000)
Au (0.500, 0.500, 0.500)
C (0.000, 0.500, 0.500)
C (0.500, 0.000, 0.500)
C (0.500, 0.500, 0.000)

Results
**Crystal system**: cubic
**SG**: Pm-3m (221)


Below is a relaxed Y4Au2C crystal, with properties calculated at the GGA-PBE level.

abc: 8.924 8.924 8.924
angles: 149.87 149.87 43.14
Sites, in units of the cell vectors:
Y (0.000, 0.500, 0.500)
Y (0.186, 0.186, 0.000)
Y (0.500, 0.000, 0.500)
Y (0.814, 0.814, 0.000)
Au (0.359, 0.359, 0.000)
Au (0.641, 0.641, 0.000)
C (0.500, 0.500, 0.000)

Results
**Crystal system**: tetragonal
**SG**: I4/mmm (139)


Below is a relaxed YAuC3 crystal, with properties calculated at the GGA-PBE level.

abc: 4.505 4.505 4.505
angles: 90.00 90.00 90.00
Sites, in units of the cell vectors:
Y (0.000, 0.000, 0.000)
Au (0.500, 0.500, 0.500)
C (0.000, 0.000, 0.500)
C (0.000, 0.500, 0.000)
C (0.500, 0.000, 0.000)

Results
**Crystal system**: cubic
**SG**: Pm-3m (221)


Below is a relaxed Y3AuC crystal, with properties calculated at the GGA-PBE level.

abc: 8.725 3.659 14.338
angles: 90.00 90.00 90.00
Sites, in units of the cell vectors:
Y (0.004, 0.250, 0.101)
Y (0.178, 0.250, 0.528)
Y (0.191, 0.750, 0.309)
Y (0.309, 0.250, 0.809)
Y (0.322, 0.750, 0.028)
Y (0.496, 0.750, 0.601)
Y (0.504, 0.250, 0.399)
Y (0.678, 0.250, 0.972)
Y (0.691, 0.750, 0.191)
Y (0.809, 0.250, 0.691)
Y (0.822, 0.750, 0.472)
Y (0.996, 0.750, 0.899)
Au (0.096, 0.750, 0.688)
Au (0.404, 0.250, 0.188)
Au (0.596, 0.750, 0.812)
Au (0.904, 0.250, 0.312)
C (0.163, 0.250, 0.954)
C (0.337, 0.750, 0.454)
C (0.663, 0.250, 0.546)
C (0.837, 0.750, 0.046)

Results
**Crystal system**: orthorhombic
**SG**: Pnma (62)


Below is a relaxed Y3AuC crystal, with properties calculated at the GGA-PBE level.

abc: 4.865 4.865 4.865
angles: 90.00 90.00 90.00
Sites, in units of the cell vectors:
Y (0.000, 0.000, 0.500)
Y (0.000, 0.500, 0.000)
Y (0.500, 0.000, 0.000)
Au (0.500, 0.500, 0.500)
C (0.000, 0.000, 0.000)

Results
**Crystal system**: cubic
**SG**: Pm-3m (221)


Record order is preserved below.
Total magnetization: 1.66; 0.00; 0.00; 0.00; 0.00; 0.00; 0.00; 0.00; 0.00; 0.00; 0.00; 0.00; 0.79 μB/f.u.
Record order is preserved below.
ΔH_f (0 K): 2.577; 1.407; 1.043; 0.968; 1.230; 2.031; 3.361; -0.528; 2.114; -0.225; 2.901; -0.521; -0.431 eV per atom